(1)
SrTl5 after structural relaxation, computed with PBE.

Calculated values
Space group: C2/m (12)
ΔE to the lowest computed polymorph in meV/atom: 15
Total energy in eV per atom: -2.41
Energy of formation from the pure elements in eV per atom: -0.16

a b c (Å): 6.404 6.404 7.099
angles (deg): 68.83 68.83 44.46
Sites, in units of the cell vectors:
Sr 0.028 0.028 0.944
Tl 0.704 0.704 0.600
Tl 0.352 0.352 0.289
Tl 0.362 0.362 0.770
Tl 0.028 0.028 0.444
Tl 0.694 0.694 0.119

(2)
KAsPbBr2 after structural relaxation, computed with PBE.

Calculated values
Space group: P4/mmm (123)
ΔE to the lowest computed polymorph in meV/atom: 0
Total energy in eV per atom: -3.05

a b c (Å): 6.011 6.011 5.683
angles (deg): 90.00 90.00 90.00
Sites, in units of the cell vectors:
Pb 0.000 0.000 0.000
As 0.000 0.000 0.500
K 0.500 0.500 0.500
Br 0.000 0.500 0.000
Br 0.500 0.000 0.000

(3)
TcSbTe2O after structural relaxation, computed with PBE.

Calculated values
Space group: P4/mmm (123)
ΔE to the lowest computed polymorph in meV/atom: 0
Total energy in eV per atom: -4.59

a b c (Å): 4.721 4.721 4.602
angles (deg): 90.00 90.00 90.00
Sites, in units of the cell vectors:
Sb 0.000 0.000 0.500
Te 0.000 0.500 0.000
Te 0.500 0.000 0.000
Tc 0.500 0.500 0.500
O 0.000 0.000 0.000

(4)
PRh2 after structural relaxation, computed with PBE.

Calculated values
Space group: I4_1/amd (141)
Total energy in eV per atom: -7.00
Energy of formation from the pure elements in eV per atom: -0.29

a b c (Å): 10.547 10.547 10.547
angles (deg): 164.45 164.45 22.07
Sites, in units of the cell vectors:
P 0.000 0.000 0.000
P 0.750 0.250 0.500
Rh 0.567 0.567 0.000
Rh 0.183 0.683 0.500
Rh 0.433 0.433 0.000
Rh 0.317 0.817 0.500

(5)
Na3Ac2NdS6 after structural relaxation, computed with PBE.

Calculated values
Space group: C2/m (12)
Total energy in eV per atom: -5.28

a b c (Å): 4.288 8.338 9.397
angles (deg): 100.42 103.19 90.00
Sites, in units of the cell vectors:
Na 0.500 0.500 0.000
Na 0.838 0.170 0.675
Na 0.162 0.830 0.325
Ac 0.834 0.673 0.668
Ac 0.166 0.327 0.332
Nd 0.500 0.000 0.000
S 0.341 0.921 0.681
S 0.668 0.577 0.336
S 0.659 0.079 0.319
S 0.001 0.233 0.002
S 0.999 0.767 0.998
S 0.332 0.423 0.664

(6)
V2CoAu after structural relaxation, computed with PBE.

Calculated values
Space group: R3m (160)
ΔE to the lowest computed polymorph in meV/atom: 321
Total energy in eV per atom: -6.85
Energy of formation from the pure elements in eV per atom: 0.30

a b c (Å): 3.459 3.459 6.348
angles (deg): 74.19 74.19 60.00
Sites, in units of the cell vectors:
V 0.061 0.061 0.816
V 0.273 0.273 0.182
Co 0.663 0.663 0.011
Au 0.503 0.503 0.492

no.,theoretical density (Mg/m³)
1,9.815
2,3.891
3,7.948
4,9.322
5,4.441
6,9.514